1.
{
  "formula": "ScNi2SbO6",
  "functional": "PBEsol",
  "state": "optimized geometry",
  "raw_formation_energy_mev_per_atom": -1650,
  "density_g_cm3": 5.90,
  "lattice_angstrom": [[-2.331, -4.449, 1.124], [0.476, -2.038, 4.702], [-4.405, 0.173, 3.338]],
  "species": ["Sc", "Ni", "Ni", "Sb", "O", "O", "O", "O", "O", "O"],
  "frac_coords": [[0.187, 0.187, 0.440], [0.480, 0.480, 0.561], [0.984, 0.984, 0.049], [0.681, 0.681, 0.956], [0.397, 0.074, 0.753], [0.776, 0.397, 0.753], [0.074, 0.776, 0.753], [0.592, 0.883, 0.240], [0.286, 0.592, 0.240], [0.883, 0.286, 0.240]]
}

=====

2.
{
  "formula": "HfTeHW2",
  "functional": "PBEsol",
  "state": "optimized geometry",
  "density_g_cm3": 13.08,
  "final_energy_ev_per_fu": -38.0,
  "lattice_angstrom": [[-0.154, 2.397, 2.411], [-4.714, -1.358, 1.050], [1.701, -3.292, 3.381]],
  "species": ["H", "Te", "Hf", "W", "W"],
  "frac_coords": [[0.500, 0.000, 0.000], [0.500, 0.500, 0.500], [0.000, 0.000, 0.000], [0.000, 0.000, 0.500], [0.000, 0.500, 0.000]]
}

=====

3.
{
  "formula": "CrAgRu2",
  "functional": "PBEsol",
  "state": "optimized geometry",
  "density_g_cm3": 11.00,
  "formation_enthalpy_0k_ev_per_atom": 0.509,
  "lattice_angstrom": [[-3.653, 0.045, -0.880], [-0.449, -3.324, 1.695], [1.271, 3.444, 2.924]],
  "species": ["Ag", "Cr", "Ru", "Ru"],
  "frac_coords": [[0.500, 0.500, 0.000], [0.250, 0.750, 0.500], [0.000, 0.000, 0.000], [0.750, 0.250, 0.500]]
}

=====

4.
{
  "formula": "RbRu2Pt",
  "functional": "PBEsol",
  "state": "optimized geometry",
  "density_g_cm3": 11.68,
  "formation_enthalpy_0k_ev_per_atom": 1.548,
  "lattice_angstrom": [[4.596, 0.000, 0.000], [2.298, 3.980, 0.000], [2.298, 1.327, 3.753]],
  "species": ["Ru", "Ru", "Rb", "Pt"],
  "frac_coords": [[0.250, 0.250, 0.250], [0.750, 0.750, 0.750], [0.000, 0.000, 0.000], [0.500, 0.500, 0.500]]
}

=====

5.
{
  "formula": "TcMo3",
  "functional": "PBEsol",
  "state": "optimized geometry",
  "de_polymorph_mev_per_atom": 31,
  "density_g_cm3": 10.70,
  "formation_enthalpy_0k_ev_per_atom": 0.065,
  "lattice_angstrom": [[2.696, -0.001, 0.000], [-0.908, 2.538, 0.000], [0.000, 0.000, 8.755]],
  "species": ["Mo", "Mo", "Mo", "Tc"],
  "frac_coords": [[0.000, 0.000, 0.252], [0.000, 0.000, 0.748], [0.500, 0.500, 0.000], [0.500, 0.500, 0.500]]
}

=====

6.
{
  "formula": "KMnPt3",
  "functional": "PBEsol",
  "state": "optimized geometry",
  "density_g_cm3": 10.24,
  "formation_enthalpy_0k_ev_per_atom": 2.294,
  "lattice_angstrom": [[4.794, 0.000, 0.000], [0.000, 4.794, 0.000], [0.000, 0.000, 4.794]],
  "species": ["K", "Mn", "Pt", "Pt", "Pt"],
  "frac_coords": [[0.000, 0.000, 0.000], [0.500, 0.500, 0.500], [0.000, 0.500, 0.000], [0.000, 0.000, 0.500], [0.500, 0.000, 0.000]]
}

=====

7.
{
  "formula": "Fe2MoBr",
  "functional": "PBEsol",
  "state": "optimized geometry",
  "de_polymorph_mev_per_atom": 13,
  "raw_formation_energy_mev_per_atom": 797,
  "density_g_cm3": 8.87,
  "lattice_angstrom": [[-0.182, -4.082, -1.124], [-0.120, -3.014, 2.977], [-3.557, -2.214, 0.631]],
  "species": ["Br", "Fe", "Fe", "Mo"],
  "frac_coords": [[0.500, 0.500, 0.500], [0.000, 0.000, 0.000], [0.750, 0.750, 0.750], [0.250, 0.250, 0.250]]
}

=====

8.
{
  "formula": "Cs3CeF6",
  "functional": "PBEsol",
  "state": "optimized geometry",
  "raw_formation_energy_mev_per_atom": -3175,
  "density_g_cm3": 4.24,
  "lattice_angstrom": [[7.125, 0.000, 0.000], [3.563, 6.171, 0.000], [3.563, 2.057, 5.818]],
  "species": ["Cs", "Cs", "Cs", "Ce", "F", "F", "F", "F", "F", "F"],
  "frac_coords": [[0.500, 0.500, 0.500], [0.750, 0.750, 0.750], [0.250, 0.250, 0.250], [0.000, 0.000, 0.000], [0.224, 0.224, 0.776], [0.776, 0.224, 0.776], [0.776, 0.224, 0.224], [0.776, 0.776, 0.224], [0.224, 0.776, 0.224], [0.224, 0.776, 0.776]]
}

=====

9.
{
  "formula": "Sc2Cr3",
  "functional": "PBEsol",
  "state": "optimized geometry",
  "density_g_cm3": 4.56,
  "formation_enthalpy_0k_ev_per_atom": 0.651,
  "lattice_angstrom": [[3.597, 0.000, 0.000], [1.798, 3.115, 0.000], [1.798, 1.038, 7.987]],
  "species": ["Cr", "Cr", "Cr", "Sc", "Sc"],
  "frac_coords": [[0.000, 0.000, 0.000], [0.835, 0.835, 0.495], [0.165, 0.165, 0.505], [0.585, 0.585, 0.246], [0.415, 0.415, 0.754]]
}

=====

10.
{
  "formula": "Rb2ZrN2",
  "functional": "PBEsol",
  "state": "optimized geometry",
  "raw_formation_energy_mev_per_atom": -588,
  "density_g_cm3": 4.36,
  "lattice_angstrom": [[-1.367, -2.216, -2.169], [-0.953, -0.004, 3.252], [-8.067, 7.283, -2.356]],
  "species": ["Rb", "Rb", "Zr", "N", "N"],
  "frac_coords": [[0.333, 0.667, 0.726], [0.667, 0.333, 0.274], [0.000, 0.000, 0.000], [0.333, 0.667, 0.101], [0.667, 0.333, 0.899]]
}

=====

11.
{
  "formula": "Zr2CuMo",
  "functional": "PBEsol",
  "state": "optimized geometry",
  "de_polymorph_mev_per_atom": 1,
  "density_g_cm3": 8.18,
  "formation_enthalpy_0k_ev_per_atom": -0.067,
  "lattice_angstrom": [[-1.243, -1.181, 2.868], [4.209, -1.068, 1.384], [0.428, 4.127, 1.885]],
  "species": ["Mo", "Cu", "Zr", "Zr"],
  "frac_coords": [[0.500, 0.500, 0.500], [0.500, 0.000, 0.000], [0.000, 0.000, 0.500], [0.000, 0.500, 0.000]]
}

=====

12.
{
  "formula": "Cr5Os",
  "functional": "PBEsol",
  "state": "optimized geometry",
  "de_polymorph_mev_per_atom": 27,
  "density_g_cm3": 10.64,
  "formation_enthalpy_0k_ev_per_atom": 0.069,
  "lattice_angstrom": [[2.857, 0.000, 0.000], [0.000, 4.081, 0.000], [-1.429, 0.000, 6.027]],
  "species": ["Cr", "Cr", "Cr", "Cr", "Cr", "Os"],
  "frac_coords": [[0.667, 0.000, 0.333], [0.333, 0.000, 0.667], [0.000, 0.000, 0.000], [0.174, 0.500, 0.348], [0.826, 0.500, 0.652], [0.500, 0.500, 0.000]]
}